Below is a relaxed structure of CsNa2Si17, with properties calculated at the PBEsol level.

Structure (POSCAR):
```
CsNa2Si17
1.0
10.417 0.000 0.000
5.209 9.021 0.000
5.209 3.007 8.505
Si Cs Na
34 2 4
Cartesian
8.360 4.827 1.014 Si
12.474 2.565 4.213 Si
10.417 8.389 1.014 Si
15.626 9.021 2.357 Si
14.433 5.958 4.213 Si
10.417 2.262 3.060 Si
11.610 9.078 6.419 Si
13.667 7.890 3.060 Si
10.417 6.014 8.275 Si
8.360 2.565 4.213 Si
18.909 10.917 7.720 Si
8.458 9.520 4.213 Si
12.474 3.449 6.419 Si
5.209 3.007 2.126 Si
10.417 3.639 1.113 Si
6.401 5.958 4.213 Si
13.667 5.515 6.419 Si
7.167 5.515 6.419 Si
15.626 5.230 7.720 Si
8.458 7.145 7.571 Si
12.342 10.917 7.720 Si
10.417 9.806 2.912 Si
9.224 9.078 6.419 Si
8.360 7.202 1.113 Si
12.474 7.202 1.113 Si
10.417 3.752 7.571 Si
7.167 7.890 3.060 Si
12.474 4.827 1.014 Si
0.000 0.000 0.000 Si
8.360 3.449 6.419 Si
13.701 4.118 2.912 Si
12.376 9.520 4.213 Si
12.376 7.145 7.571 Si
7.133 4.118 2.912 Si
10.417 6.014 4.253 Cs
15.626 9.021 6.379 Cs
7.813 1.504 1.063 Na
2.604 1.504 1.063 Na
5.209 3.007 5.316 Na
5.209 6.014 1.063 Na
```

Output
total magnetization: 0.00 Bohr magnetons per cell
SG: No. 227
raw total energy: -205.90 eV per cell
volume: 799.3 Å³/cell